This record from OQMD describes CuSi2Sn after structural relaxation. The functional is PBE.

a b c (Å): 4.608 4.608 4.608
angles (deg): 60.00 60.00 60.00
Fractional coordinates of all 4 atoms:
Cu 0.250 0.250 0.250
Si 0.000 0.000 0.000
Si 0.750 0.750 0.750
Sn 0.500 0.500 0.500

Summary:
Energy in Ry/atom: -0.30397
Volume in A^3/atom: 17.29
ρ in g/cm³: 5.723